[1]
A geometry-optimized SrMn2SiI structure, computed with PBE.

Cell: 4.8114 4.8114 6.3855 Å, 90.00 90.00 90.00°
Last column: nearest neighbours and their distance in Å.
Element x y z (fractional)
Sr1 0.0000 0.0000 0.0000  2 Si 3.19, 4 I 3.40
Mn1 0.0000 0.5000 0.5000  2 Si 2.41
Mn2 0.5000 0.0000 0.5000  2 Si 2.41
Si1 0.0000 0.0000 0.5000  4 Mn 2.41
I1 0.5000 0.5000 0.0000  4 Sr 3.40

Calculated values
The calculation puts the magnetic moment at 9.01 μB per cell. The value obtained for the total energy is -5.32 eV/atom. As for the space group: No. 123. As for the raw formation energy: 0.07 eV/atom.

***

[2]
A geometry-optimized CeNd5Er structure, computed with PBE.

Cell: 7.9431 7.9431 5.7796 Å, 111.27 111.27 67.89°
Last column: nearest neighbours and their distance in Å.
Element x y z (fractional)
Ce1 0.0000 0.0000 0.0000  2 Nd 2.87
Nd1 0.1779 0.8221 0.5000  1 Er 2.86, 1 Nd 3.16
Nd2 0.2418 0.2418 0.2418  1 Ce 2.87, 1 Er 3.06
Nd3 0.5000 0.5000 0.0000  2 Er 2.89
Nd4 0.7582 0.7582 0.7582  1 Ce 2.87, 1 Er 3.06
Nd5 0.8221 0.1779 0.5000  1 Er 2.86, 1 Nd 3.16
Er1 0.5000 0.5000 0.5000  6 Nd 2.86-3.06

Calculated values
The calculation puts the magnetic moment at 1.13 μB per cell. The value obtained for the total energy is -3.93 eV/atom. As for the space group: No. 12. The formation energy comes out at 0.975 eV/atom.

***

Look up the magnetic moment of the second one. 1.13 μB per cell